No. 1
# YZnCuAs2 (PBE-GGA, relaxed)
# - calculated volume (Å³/cell) = 100
# - D(E_F) (states/eV/f.u.) = 0.39
# - calculated total energy (eV per atom) = -4.900
# - M_tot (μB/cell) = 0.00
# - density (g/cm³) = 6.13
# - energy of formation from the pure elements (meV/atom) = -674
data_YZnCuAs2
_chemical_formula_sum 'Y1 Zn1 Cu1 As2'
_cell_length_a 4.1290
_cell_length_b 4.1290
_cell_length_c 6.7495
_cell_angle_alpha 90.00
_cell_angle_beta 90.00
_cell_angle_gamma 120.00
_symmetry_space_group_name_H-M 'P 3 m 1'
_symmetry_Int_Tables_number 156
loop_
_symmetry_equiv_pos_as_xyz
'x,y,z'
'-y,x-y,z'
'-x+y,-x,z'
'-y,-x,z'
'-x+y,y,z'
'x,x-y,z'
loop_
_atom_site_label
_atom_site_type_symbol
_atom_site_fract_x
_atom_site_fract_y
_atom_site_fract_z
Y1 Y 0.0000 0.0000 0.0000
Zn1 Zn 0.3333 0.6667 0.6077
Cu1 Cu 0.6667 0.3333 0.3396
As1 As 0.3333 0.6667 0.2368
As2 As 0.6667 0.3333 0.7327

---

No. 2
# YbZnCuAs2 (PBE-GGA, relaxed)
# - calculated volume (Å³/cell) = 100
# - D(E_F) (states/eV/f.u.) = 12.97
# - calculated total energy (eV per atom) = -3.831
# - M_tot (μB/cell) = 0.20
# - density (g/cm³) = 7.51
# - energy of formation from the pure elements (meV/atom) = -592
data_YbZnCuAs2
_chemical_formula_sum 'Yb1 Zn1 Cu1 As2'
_cell_length_a 4.1049
_cell_length_b 4.1049
_cell_length_c 6.8437
_cell_angle_alpha 90.00
_cell_angle_beta 90.00
_cell_angle_gamma 120.00
_symmetry_space_group_name_H-M 'P 3 m 1'
_symmetry_Int_Tables_number 156
loop_
_symmetry_equiv_pos_as_xyz
'x,y,z'
'-y,x-y,z'
'-x+y,-x,z'
'-y,-x,z'
'-x+y,y,z'
'x,x-y,z'
loop_
_atom_site_label
_atom_site_type_symbol
_atom_site_fract_x
_atom_site_fract_y
_atom_site_fract_z
Yb1 Yb 0.0000 0.0000 0.0000
Zn1 Zn 0.6667 0.3333 0.3859
Cu1 Cu 0.3333 0.6667 0.6417
As1 As 0.3333 0.6667 0.2616
As2 As 0.6667 0.3333 0.7524

---

No. 3
# ZnCuAs2 (PBE-GGA, relaxed)
# - calculated volume (Å³/cell) = 141
# - D(E_F) (states/eV/f.u.) = 2.00
# - calculated total energy (eV per atom) = -3.482
# - M_tot (μB/cell) = 0.00
# - density (g/cm³) = 6.56
# - energy of formation from the pure elements (meV/atom) = 186
data_ZnCuAs2
_chemical_formula_sum 'Zn2 Cu2 As4'
_cell_length_a 3.545
_cell_length_b 3.642
_cell_length_c 10.930
_cell_angle_alpha 90.00
_cell_angle_beta 90.00
_cell_angle_gamma 90.00
_symmetry_space_group_name_H-M 'I m m 2'
_symmetry_Int_Tables_number 44
loop_
_symmetry_equiv_pos_as_xyz
'x,y,z'
'-x,-y,z'
'-x,y,z'
'x,-y,z'
'x+1/2,y+1/2,z+1/2'
'-x+1/2,-y+1/2,z+1/2'
'-x+1/2,y+1/2,z+1/2'
'x+1/2,-y+1/2,z+1/2'
loop_
_atom_site_label
_atom_site_type_symbol
_atom_site_fract_x
_atom_site_fract_y
_atom_site_fract_z
Zn1 Zn 0.000 0.000 0.000
Cu1 Cu 0.000 0.500 0.771
As1 As 0.000 0.000 0.610
As2 As 0.000 0.500 0.314

---

No. 4
# ZnCuAs2 (PBE-GGA, relaxed)
# - calculated volume (Å³/cell) = 272
# - D(E_F) (states/eV/f.u.) = 1.28
# - calculated total energy (eV per atom) = -3.314
# - M_tot (μB/cell) = 0.00
# - density (g/cm³) = 6.81
# - energy of formation from the pure elements (meV/atom) = 353
data_ZnCuAs2
_chemical_formula_sum 'Zn4 Cu4 As8'
_cell_length_a 6.479
_cell_length_b 6.479
_cell_length_c 6.479
_cell_angle_alpha 90.00
_cell_angle_beta 90.00
_cell_angle_gamma 90.00
_symmetry_space_group_name_H-M 'F -4 3 m'
_symmetry_Int_Tables_number 216
_symmetry_space_group_name_Hall 'F -4 2 3'
loop_
_atom_site_label
_atom_site_type_symbol
_atom_site_fract_x
_atom_site_fract_y
_atom_site_fract_z
Zn1 Zn 0.000 0.000 0.000
Cu1 Cu 0.250 0.250 0.750
As1 As 0.000 0.000 0.500
As2 As 0.250 0.250 0.250

---

No. 5
# ZnCu2As (PBE-GGA, relaxed)
# - relative energy among the computed polymorphs (meV per atom) = 0
# - calculated volume (Å³/cell) = 57
# - D(E_F) (states/eV/f.u.) = 1.03
# - calculated total energy (eV per atom) = -3.482
# - M_tot (μB/cell) = 0.00
# - density (g/cm³) = 7.84
# - energy of formation from the pure elements (meV/atom) = 47
data_ZnCu2As
_chemical_formula_sum 'Zn1 Cu2 As1'
_cell_length_a 3.869
_cell_length_b 3.869
_cell_length_c 3.785
_cell_angle_alpha 90.00
_cell_angle_beta 90.00
_cell_angle_gamma 90.00
_symmetry_space_group_name_H-M 'P 4/m m m'
_symmetry_Int_Tables_number 123
_symmetry_space_group_name_Hall '-P 4 2'
loop_
_atom_site_label
_atom_site_type_symbol
_atom_site_fract_x
_atom_site_fract_y
_atom_site_fract_z
Zn1 Zn 0.000 0.000 0.000
Cu1 Cu 0.000 0.500 0.500
As1 As 0.500 0.500 0.000

---

No. 6
# ZnCuAs2 (PBE-GGA, relaxed)
# - calculated volume (Å³/cell) = 308
# - D(E_F) (states/eV/f.u.) = 1.56
# - calculated total energy (eV per atom) = -3.582
# - M_tot (μB/cell) = 0.00
# - density (g/cm³) = 6.01
# - energy of formation from the pure elements (meV/atom) = 85
data_ZnCuAs2
_chemical_formula_sum 'Zn4 Cu4 As8'
_cell_length_a 4.572
_cell_length_b 4.572
_cell_length_c 14.753
_cell_angle_alpha 90.00
_cell_angle_beta 90.00
_cell_angle_gamma 90.00
_symmetry_space_group_name_H-M 'I -4 2 d'
_symmetry_Int_Tables_number 122
_symmetry_space_group_name_Hall 'I -4 2bw'
loop_
_atom_site_label
_atom_site_type_symbol
_atom_site_fract_x
_atom_site_fract_y
_atom_site_fract_z
Zn1 Zn 0.000 0.000 0.000
Cu1 Cu 0.000 0.000 0.500
As1 As 0.223 0.250 0.625

---

No. 7
# ZnCu2As (PBE-GGA, relaxed)
# - relative energy among the computed polymorphs (meV per atom) = 62
# - calculated volume (Å³/cell) = 114
# - D(E_F) (states/eV/f.u.) = 1.65
# - calculated total energy (eV per atom) = -3.420
# - M_tot (μB/cell) = 0.00
# - density (g/cm³) = 7.77
# - energy of formation from the pure elements (meV/atom) = 109
data_ZnCu2As
_chemical_formula_sum 'Zn2 Cu4 As2'
_cell_length_a 5.382
_cell_length_b 7.212
_cell_length_c 2.945
_cell_angle_alpha 90.00
_cell_angle_beta 90.00
_cell_angle_gamma 90.00
_symmetry_space_group_name_H-M 'C m m m'
_symmetry_Int_Tables_number 65
_symmetry_space_group_name_Hall '-C 2 2'
loop_
_atom_site_label
_atom_site_type_symbol
_atom_site_fract_x
_atom_site_fract_y
_atom_site_fract_z
Zn1 Zn 0.000 0.000 0.000
Cu1 Cu 0.250 0.250 0.500
As1 As 0.000 0.500 0.000

---

No. 8
# ZnCu2As (PBE-GGA, relaxed)
# - relative energy among the computed polymorphs (meV per atom) = 26
# - calculated volume (Å³/cell) = 57
# - D(E_F) (states/eV/f.u.) = 1.52
# - calculated total energy (eV per atom) = -3.456
# - M_tot (μB/cell) = 0.00
# - density (g/cm³) = 7.80
# - energy of formation from the pure elements (meV/atom) = 73
data_ZnCu2As
_chemical_formula_sum 'Zn1 Cu2 As1'
_cell_length_a 2.894
_cell_length_b 3.595
_cell_length_c 5.476
_cell_angle_alpha 90.00
_cell_angle_beta 90.28
_cell_angle_gamma 90.00
_symmetry_space_group_name_H-M 'P 1 2/m 1'
_symmetry_Int_Tables_number 10
loop_
_symmetry_equiv_pos_as_xyz
'x,y,z'
'-x,-y,-z'
'-x,y,-z'
'x,-y,z'
loop_
_atom_site_label
_atom_site_type_symbol
_atom_site_fract_x
_atom_site_fract_y
_atom_site_fract_z
Zn1 Zn 0.000 0.000 0.000
Cu1 Cu 0.500 0.500 0.238
As1 As 0.000 0.000 0.500

---

No. 9
# ZnCuAs2 (PBE-GGA, relaxed)
# - calculated volume (Å³/cell) = 143
# - D(E_F) (states/eV/f.u.) = 1.49
# - calculated total energy (eV per atom) = -3.498
# - M_tot (μB/cell) = 0.00
# - density (g/cm³) = 6.49
# - energy of formation from the pure elements (meV/atom) = 169
data_ZnCuAs2
_chemical_formula_sum 'Zn2 Cu2 As4'
_cell_length_a 5.552
_cell_length_b 6.616
_cell_length_c 4.436
_cell_angle_alpha 90.00
_cell_angle_beta 118.91
_cell_angle_gamma 90.00
_symmetry_space_group_name_H-M 'C 1 2/m 1'
_symmetry_Int_Tables_number 12
loop_
_symmetry_equiv_pos_as_xyz
'x,y,z'
'-x,-y,-z'
'-x,y,-z'
'x,-y,z'
'x+1/2,y+1/2,z'
'-x+1/2,-y+1/2,-z'
'-x+1/2,y+1/2,-z'
'x+1/2,-y+1/2,z'
loop_
_atom_site_label
_atom_site_type_symbol
_atom_site_fract_x
_atom_site_fract_y
_atom_site_fract_z
Zn1 Zn 0.000 0.000 0.000
Cu1 Cu 0.000 0.500 0.000
As1 As 0.250 0.250 0.500

---

No. 10
# ZnCu2As (PBE-GGA, relaxed)
# - relative energy among the computed polymorphs (meV per atom) = 60
# - calculated volume (Å³/cell) = 59
# - D(E_F) (states/eV/f.u.) = 0.69
# - calculated total energy (eV per atom) = -3.422
# - M_tot (μB/cell) = 0.00
# - density (g/cm³) = 7.51
# - energy of formation from the pure elements (meV/atom) = 107
data_ZnCu2As
_chemical_formula_sum 'Zn1 Cu2 As1'
_cell_length_a 2.760
_cell_length_b 2.760
_cell_length_c 7.766
_cell_angle_alpha 90.00
_cell_angle_beta 90.00
_cell_angle_gamma 90.00
_symmetry_space_group_name_H-M 'P 4 m m'
_symmetry_Int_Tables_number 99
loop_
_symmetry_equiv_pos_as_xyz
'x,y,z'
'-y,x,z'
'-x,-y,z'
'y,-x,z'
'-x,y,z'
'y,x,z'
'x,-y,z'
'-y,-x,z'
loop_
_atom_site_label
_atom_site_type_symbol
_atom_site_fract_x
_atom_site_fract_y
_atom_site_fract_z
Zn1 Zn 0.000 0.000 0.000
Cu1 Cu 0.000 0.000 0.566
Cu2 Cu 0.500 0.500 0.784
As1 As 0.500 0.500 0.322

---

No. 11
# ZnCuAs (PBE-GGA, relaxed)
# - calculated volume (Å³/cell) = 111
# - D(E_F) (states/eV/f.u.) = 0.62
# - calculated total energy (eV per atom) = -3.391
# - M_tot (μB/cell) = 0.00
# - density (g/cm³) = 6.09
# - energy of formation from the pure elements (meV/atom) = -51
data_ZnCuAs
_chemical_formula_sum 'Zn2 Cu2 As2'
_cell_length_a 4.1917
_cell_length_b 4.1917
_cell_length_c 7.3052
_cell_angle_alpha 90.00
_cell_angle_beta 90.00
_cell_angle_gamma 120.00
_symmetry_space_group_name_H-M 'P 63 m c'
_symmetry_Int_Tables_number 186
_symmetry_space_group_name_Hall 'P 6c -2c'
loop_
_atom_site_label
_atom_site_type_symbol
_atom_site_fract_x
_atom_site_fract_y
_atom_site_fract_z
Zn1 Zn 0.3333 0.6667 0.0000
Cu1 Cu 0.0000 0.0000 0.1207
As1 As 0.3333 0.6667 0.6631

---

No. 12
# ZnCu2As (PBE-GGA, relaxed)
# - relative energy among the computed polymorphs (meV per atom) = 29
# - calculated volume (Å³/cell) = 116
# - D(E_F) (states/eV/f.u.) = 0.94
# - calculated total energy (eV per atom) = -3.453
# - M_tot (μB/cell) = 0.00
# - density (g/cm³) = 7.65
# - energy of formation from the pure elements (meV/atom) = 76
data_ZnCu2As
_chemical_formula_sum 'Zn2 Cu4 As2'
_cell_length_a 8.205
_cell_length_b 2.883
_cell_length_c 4.982
_cell_angle_alpha 90.00
_cell_angle_beta 100.12
_cell_angle_gamma 90.00
_symmetry_space_group_name_H-M 'C 1 2/m 1'
_symmetry_Int_Tables_number 12
loop_
_symmetry_equiv_pos_as_xyz
'x,y,z'
'-x,-y,-z'
'-x,y,-z'
'x,-y,z'
'x+1/2,y+1/2,z'
'-x+1/2,-y+1/2,-z'
'-x+1/2,y+1/2,-z'
'x+1/2,-y+1/2,z'
loop_
_atom_site_label
_atom_site_type_symbol
_atom_site_fract_x
_atom_site_fract_y
_atom_site_fract_z
Zn1 Zn 0.000 0.000 0.000
Cu1 Cu 0.248 0.500 0.232
As1 As 0.000 0.500 0.500